VASP calculation (GGA-PBE) on a relaxed structure of RbNbReO6.

Properties
Formation energy without anion corrections = -2.04 eV/atom
Total magnetic moment = 1.8 μB per cell
E = -0.585 Ry/atom

a b c (Å): 7.4098 7.4098 7.4098
angles (deg): 120.62 119.46 89.93
Fractional coordinates of all 18 atoms:
Rb  0.3719  0.1219  0.2500
Rb  0.6281  0.8781  0.7500
Nb  0.0000  0.5000  0.5000
Nb  0.5000  0.5000  0.0000
Re  0.0000  0.0000  0.5000
Re  0.0000  0.5000  0.0000
O  0.0512  0.8012  0.2500
O  0.0562  0.4293  0.2345
O  0.0562  0.8216  0.6269
O  0.3052  0.1784  0.7345
O  0.3052  0.5707  0.1269
O  0.3152  0.5652  0.7500
O  0.6848  0.4348  0.2500
O  0.6948  0.4293  0.8731
O  0.6948  0.8216  0.2655
O  0.9438  0.1784  0.3731
O  0.9438  0.5707  0.7655
O  0.9488  0.1988  0.7500